## AlAu2Br (PBE-GGA)

Data for a relaxed AlAu2Br crystal.

The structure in CIF format:
```
data_AlAu2Br
_space_group_name_H-M_alt 'I m m m'
_space_group_IT_number 71
_space_group_name_Hall '-I 2 2'
_cell_length_a 3.2003
_cell_length_b 6.1933
_cell_length_c 8.9277
_cell_angle_alpha 90.00
_cell_angle_beta 90.00
_cell_angle_gamma 90.00
loop_
_atom_site_label
_atom_site_fract_x
_atom_site_fract_y
_atom_site_fract_z
_atom_site_occupancy
Al1 0.0000 0.0000 0.0000 1
Au1 0.0000 0.5000 0.2835 1
Br1 0.0000 0.0000 0.5000 1
```

Computed properties:
Total magnetic moment ... 0.0 Bohr magnetons per cell
ΔE_f (raw) ... -0.07 eV per atom
DOS(E_F) ... 1.603 states/eV/cell
Crystal system ... orthorhombic
E above lowest polymorph ... 0.1861 eV per atom



## AlAu2Br (PBE-GGA)

Data for a relaxed AlAu2Br crystal.

The structure in CIF format:
```
data_AlAu2Br
_space_group_name_H-M_alt 'I m m 2'
_space_group_IT_number 44
_space_group_name_Hall 'I 2 -2'
_cell_length_a 3.2118
_cell_length_b 5.9757
_cell_length_c 9.1891
_cell_angle_alpha 90.00
_cell_angle_beta 90.00
_cell_angle_gamma 90.00
loop_
_atom_site_label
_atom_site_fract_x
_atom_site_fract_y
_atom_site_fract_z
_atom_site_occupancy
Al1 0.0000 0.0000 0.0000 1
Au1 0.0000 0.0000 0.4640 1
Au2 0.0000 0.5000 0.7063 1
Br1 0.0000 0.5000 0.2900 1
```

Computed properties:
Total magnetic moment ... 0.0 Bohr magnetons per cell
ΔE_f (raw) ... -0.01 eV per atom
DOS(E_F) ... 1.349 states/eV/cell
Crystal system ... orthorhombic
E above lowest polymorph ... 0.2423 eV per atom



## Al2Au2Br (PBE-GGA)

Data for a relaxed Al2Au2Br crystal.

The structure in CIF format:
```
data_Al2Au2Br
_space_group_name_H-M_alt 'I 4/m m m'
_space_group_IT_number 139
_space_group_name_Hall '-I 4 2'
_cell_length_a 4.5025
_cell_length_b 4.5025
_cell_length_c 10.9056
_cell_angle_alpha 90.00
_cell_angle_beta 90.00
_cell_angle_gamma 90.00
loop_
_atom_site_label
_atom_site_fract_x
_atom_site_fract_y
_atom_site_fract_z
_atom_site_occupancy
Al1 0.0000 0.5000 0.2500 1
Au1 0.0000 0.0000 0.1326 1
Br1 0.0000 0.0000 0.5000 1
```

Computed properties:
Total magnetic moment ... 0.0 Bohr magnetons per cell
ΔE_f (raw) ... -0.18 eV per atom
DOS(E_F) ... 2.884 states/eV/cell
Crystal system ... tetragonal



## AlAuBr (PBE-GGA)

Data for a relaxed AlAuBr crystal.

The structure in CIF format:
```
data_AlAuBr
_space_group_name_H-M_alt 'I 4 m m'
_space_group_IT_number 107
_space_group_name_Hall 'I 4 -2'
_cell_length_a 3.3072
_cell_length_b 3.3072
_cell_length_c 12.1148
_cell_angle_alpha 90.00
_cell_angle_beta 90.00
_cell_angle_gamma 90.00
loop_
_atom_site_label
_atom_site_fract_x
_atom_site_fract_y
_atom_site_fract_z
_atom_site_occupancy
Al1 0.0000 0.0000 0.0000 1
Au1 0.0000 0.0000 0.3935 1
Br1 0.0000 0.0000 0.6554 1
```

Computed properties:
Total magnetic moment ... 0.0 Bohr magnetons per cell
ΔE_f (raw) ... -0.12 eV per atom
DOS(E_F) ... 2.000 states/eV/cell
Crystal system ... tetragonal
E above lowest polymorph ... 0.3245 eV per atom



## AlAu2Br (PBE-GGA)

Data for a relaxed AlAu2Br crystal.

The structure in CIF format:
```
data_AlAu2Br
_space_group_name_H-M_alt 'P m m m'
_space_group_IT_number 47
_space_group_name_Hall '-P 2 2'
_cell_length_a 3.0796
_cell_length_b 4.6128
_cell_length_c 5.9000
_cell_angle_alpha 90.00
_cell_angle_beta 90.00
_cell_angle_gamma 90.00
loop_
_atom_site_label
_atom_site_fract_x
_atom_site_fract_y
_atom_site_fract_z
_atom_site_occupancy
Al1 0.0000 0.0000 0.0000 1
Au1 0.0000 0.5000 0.5000 1
Au2 0.5000 0.5000 0.0000 1
Br1 0.5000 0.0000 0.5000 1
```

Computed properties:
Total magnetic moment ... 0.0 Bohr magnetons per cell
ΔE_f (raw) ... 0.16 eV per atom
DOS(E_F) ... 1.039 states/eV/cell
Crystal system ... orthorhombic
E above lowest polymorph ... 0.4158 eV per atom



## AlAu2Br (PBE-GGA)

Data for a relaxed AlAu2Br crystal.

The structure in CIF format:
```
data_AlAu2Br
_space_group_name_H-M_alt 'P 4 m m'
_space_group_IT_number 99
_space_group_name_Hall 'P 4 -2'
_cell_length_a 3.1861
_cell_length_b 3.1861
_cell_length_c 8.3506
_cell_angle_alpha 90.00
_cell_angle_beta 90.00
_cell_angle_gamma 90.00
loop_
_atom_site_label
_atom_site_fract_x
_atom_site_fract_y
_atom_site_fract_z
_atom_site_occupancy
Al1 0.0000 0.0000 0.0000 1
Au1 0.0000 0.0000 0.4110 1
Au2 0.5000 0.5000 0.1845 1
Br1 0.5000 0.5000 0.7861 1
```

Computed properties:
Total magnetic moment ... 0.0 Bohr magnetons per cell
ΔE_f (raw) ... 0.02 eV per atom
DOS(E_F) ... 0.860 states/eV/cell
Crystal system ... tetragonal
E above lowest polymorph ... 0.2716 eV per atom



## AlAu2Br (PBE-GGA)

Data for a relaxed AlAu2Br crystal.

The structure in CIF format:
```
data_AlAu2Br
_space_group_name_H-M_alt 'C m m m'
_space_group_IT_number 65
_space_group_name_Hall '-C 2 2'
_cell_length_a 3.7025
_cell_length_b 5.6932
_cell_length_c 7.8933
_cell_angle_alpha 90.00
_cell_angle_beta 90.00
_cell_angle_gamma 90.00
loop_
_atom_site_label
_atom_site_fract_x
_atom_site_fract_y
_atom_site_fract_z
_atom_site_occupancy
Al1 0.0000 0.0000 0.0000 1
Au1 0.0000 0.5000 0.2179 1
Br1 0.0000 0.0000 0.5000 1
```

Computed properties:
Total magnetic moment ... 0.0 Bohr magnetons per cell
ΔE_f (raw) ... -0.04 eV per atom
DOS(E_F) ... 3.118 states/eV/cell
Crystal system ... orthorhombic
E above lowest polymorph ... 0.2111 eV per atom



## AlAuBr (PBE-GGA)

Data for a relaxed AlAuBr crystal.

The structure in CIF format:
```
data_AlAuBr
_space_group_name_H-M_alt 'F m m 2'
_space_group_IT_number 42
_space_group_name_Hall 'F 2 -2'
_cell_length_a 3.7224
_cell_length_b 6.0302
_cell_length_c 12.4559
_cell_angle_alpha 90.00
_cell_angle_beta 90.00
_cell_angle_gamma 90.00
loop_
_atom_site_label
_atom_site_fract_x
_atom_site_fract_y
_atom_site_fract_z
_atom_site_occupancy
Al1 0.0000 0.0000 0.0000 1
Au1 0.0000 0.0000 0.6282 1
Br1 0.0000 0.0000 0.3433 1
```

Computed properties:
Total magnetic moment ... 0.0 Bohr magnetons per cell
ΔE_f (raw) ... -0.13 eV per atom
DOS(E_F) ... 2.228 states/eV/cell
Crystal system ... orthorhombic
E above lowest polymorph ... 0.3180 eV per atom



## Al3AuBr (PBE-GGA)

Data for a relaxed Al3AuBr crystal.

The structure in CIF format:
```
data_Al3AuBr
_space_group_name_H-M_alt 'P m -3 m'
_space_group_IT_number 221
_space_group_name_Hall '-P 4 2 3'
_cell_length_a 5.3077
_cell_length_b 5.3077
_cell_length_c 5.3077
_cell_angle_alpha 90.00
_cell_angle_beta 90.00
_cell_angle_gamma 90.00
loop_
_atom_site_label
_atom_site_fract_x
_atom_site_fract_y
_atom_site_fract_z
_atom_site_occupancy
Al1 0.0000 0.0000 0.5000 1
Au1 0.5000 0.5000 0.5000 1
Br1 0.0000 0.0000 0.0000 1
```

Computed properties:
Total magnetic moment ... 0.0 Bohr magnetons per cell
ΔE_f (raw) ... 0.92 eV per atom
DOS(E_F) ... 1.955 states/eV/cell
Crystal system ... cubic
E above lowest polymorph ... 0.9561 eV per atom



## AlAuBr (PBE-GGA)

Data for a relaxed AlAuBr crystal.

The structure in CIF format:
```
data_AlAuBr
_space_group_name_H-M_alt 'F -4 3 m'
_space_group_IT_number 216
_space_group_name_Hall 'F -4 2 3'
_cell_length_a 6.5756
_cell_length_b 6.5756
_cell_length_c 6.5756
_cell_angle_alpha 90.00
_cell_angle_beta 90.00
_cell_angle_gamma 90.00
loop_
_atom_site_label
_atom_site_fract_x
_atom_site_fract_y
_atom_site_fract_z
_atom_site_occupancy
Al1 0.0000 0.0000 0.0000 1
Au1 0.2500 0.2500 0.2500 1
Br1 0.2500 0.2500 0.7500 1
```

Computed properties:
Total magnetic moment ... 0.0 Bohr magnetons per cell
ΔE_f (raw) ... 0.09 eV per atom
DOS(E_F) ... 6.929 states/eV/cell
Crystal system ... cubic
E above lowest polymorph ... 0.5375 eV per atom



## AlAu2Br (PBE-GGA)

Data for a relaxed AlAu2Br crystal.

The structure in CIF format:
```
data_AlAu2Br
_space_group_name_H-M_alt 'C m m 2'
_space_group_IT_number 35
_space_group_name_Hall 'C 2 -2'
_cell_length_a 3.4994
_cell_length_b 5.6922
_cell_length_c 8.8375
_cell_angle_alpha 90.00
_cell_angle_beta 90.00
_cell_angle_gamma 90.00
loop_
_atom_site_label
_atom_site_fract_x
_atom_site_fract_y
_atom_site_fract_z
_atom_site_occupancy
Al1 0.0000 0.0000 0.0000 1
Au1 0.0000 0.0000 0.5583 1
Au2 0.0000 0.5000 0.8026 1
Br1 0.0000 0.5000 0.2169 1
```

Computed properties:
Total magnetic moment ... 0.0 Bohr magnetons per cell
ΔE_f (raw) ... 0.00 eV per atom
DOS(E_F) ... 1.910 states/eV/cell
Crystal system ... orthorhombic
E above lowest polymorph ... 0.2559 eV per atom



## AlAu2Br (PBE-GGA)

Data for a relaxed AlAu2Br crystal.

The structure in CIF format:
```
data_AlAu2Br
_space_group_name_H-M_alt 'R -3 m'
_space_group_IT_number 166
_space_group_name_Hall '-R 3 2"'
_cell_length_a 3.5199
_cell_length_b 3.5199
_cell_length_c 23.0389
_cell_angle_alpha 90.00
_cell_angle_beta 90.00
_cell_angle_gamma 120.00
loop_
_atom_site_label
_atom_site_fract_x
_atom_site_fract_y
_atom_site_fract_z
_atom_site_occupancy
Al1 0.0000 0.0000 0.0000 1
Au1 0.0000 0.0000 0.2620 1
Br1 0.0000 0.0000 0.5000 1
```

Computed properties:
Total magnetic moment ... 0.0 Bohr magnetons per cell
ΔE_f (raw) ... -0.22 eV per atom
DOS(E_F) ... 0.100 states/eV/cell
Crystal system ... trigonal
E above lowest polymorph ... 0.0318 eV per atom